Crystalline Sr2BiAu2 at its relaxed geometry, computed with PBEsol.

Lattice parameters (Å, degrees): 8.354 8.354 3.931 90.00 90.00 90.00
Fractional coordinates of all 10 atoms:
Sr 0.178 0.322 0.000
Sr 0.322 0.822 0.000
Sr 0.678 0.178 0.000
Sr 0.822 0.678 0.000
Bi 0.000 0.000 0.500
Bi 0.500 0.500 0.500
Au 0.117 0.617 0.500
Au 0.383 0.117 0.500
Au 0.617 0.883 0.500
Au 0.883 0.383 0.500

## Properties
ΔH_f (0 K)   -0.72 eV/atom
Energy above the most stable polymorph in this dataset   0.0 meV per atom
Uncorrected energy   -3.887 eV per atom
Magnetization   0.00 μB per cell
Calculated density   9.42 g cm⁻³


Crystalline CsMnPPd2 at its relaxed geometry, computed with PBEsol.

Lattice parameters (Å, degrees): 4.508 4.508 6.153 90.00 90.00 90.00
Fractional coordinates of all 5 atoms:
Cs 0.000 0.000 0.000
Mn 0.500 0.500 0.000
P 0.000 0.000 0.500
Pd 0.000 0.500 0.500
Pd 0.500 0.000 0.500

## Properties
ΔH_f (0 K)   0.75 eV/atom
Uncorrected energy   -4.932 eV per atom
Magnetization   4.59 μB per cell
Calculated density   5.73 g cm⁻³


Crystalline Sc4Ge6Ir7 at its relaxed geometry, computed with PBEsol.

Lattice parameters (Å, degrees): 7.021 7.021 7.021 109.47 109.47 109.47
Fractional coordinates of all 17 atoms:
Sc 0.000 0.000 0.500
Sc 0.000 0.500 0.000
Sc 0.500 0.000 0.000
Sc 0.500 0.500 0.500
Ge 0.000 0.311 0.311
Ge 0.000 0.689 0.689
Ge 0.311 0.000 0.311
Ge 0.311 0.311 0.000
Ge 0.689 0.000 0.689
Ge 0.689 0.689 0.000
Ir 0.000 0.000 0.000
Ir 0.250 0.500 0.750
Ir 0.250 0.750 0.500
Ir 0.500 0.250 0.750
Ir 0.500 0.750 0.250
Ir 0.750 0.250 0.500
Ir 0.750 0.500 0.250

## Properties
ΔH_f (0 K)   -0.89 eV/atom
Uncorrected energy   -8.235 eV per atom
Magnetization   0.00 μB per cell
Calculated density   12.22 g cm⁻³


Crystalline SiAsN2O at its relaxed geometry, computed with PBEsol.

Lattice parameters (Å, degrees): 3.648 3.648 3.488 90.00 90.00 90.00
Fractional coordinates of all 5 atoms:
Si 0.000 0.000 0.000
As 0.500 0.500 0.500
N 0.000 0.500 0.000
N 0.500 0.000 0.000
O 0.000 0.000 0.500

## Properties
Uncorrected energy   -6.761 eV per atom
Formation energy (no corrections)   -12.54 kJ per mole of atoms
Magnetization   0.00 μB per cell
Calculated density   5.26 g cm⁻³


Crystalline BiTeRu2 at its relaxed geometry, computed with PBEsol.

Lattice parameters (Å, degrees): 6.616 6.616 6.616 90.00 90.00 90.00
Fractional coordinates of all 16 atoms:
Bi 0.000 0.000 0.000
Bi 0.000 0.500 0.500
Bi 0.500 0.000 0.500
Bi 0.500 0.500 0.000
Te 0.000 0.000 0.500
Te 0.000 0.500 0.000
Te 0.500 0.000 0.000
Te 0.500 0.500 0.500
Ru 0.250 0.250 0.250
Ru 0.250 0.250 0.750
Ru 0.250 0.750 0.250
Ru 0.250 0.750 0.750
Ru 0.750 0.250 0.250
Ru 0.750 0.250 0.750
Ru 0.750 0.750 0.250
Ru 0.750 0.750 0.750

## Properties
Uncorrected energy   -6.589 eV per atom
Formation energy (no corrections)   43.42 kJ per mole of atoms
Magnetization   5.24 μB per cell
Calculated density   12.36 g cm⁻³


Crystalline TlIn2GaBr at its relaxed geometry, computed with PBEsol.

Lattice parameters (Å, degrees): 5.762 5.762 5.395 90.00 90.00 90.00
Fractional coordinates of all 5 atoms:
Tl 0.000 0.000 0.000
In 0.000 0.500 0.500
In 0.500 0.000 0.500
Ga 0.500 0.500 0.000
Br 0.500 0.500 0.500

## Properties
Uncorrected energy   -2.385 eV per atom
Formation energy (no corrections)   36.25 kJ per mole of atoms
Magnetization   0.00 μB per cell
Calculated density   5.41 g cm⁻³


Crystalline MgCoSe2 at its relaxed geometry, computed with PBEsol.

Lattice parameters (Å, degrees): 3.290 3.488 11.980 90.00 90.00 90.00
Fractional coordinates of all 8 atoms:
Mg 0.000 0.000 0.000
Mg 0.500 0.500 0.500
Co 0.000 0.500 0.747
Co 0.500 0.000 0.247
Se 0.000 0.000 0.400
Se 0.000 0.500 0.176
Se 0.500 0.000 0.676
Se 0.500 0.500 0.900

## Properties
Energy above the most stable polymorph in this dataset   184.1 meV per atom
Uncorrected energy   -4.626 eV per atom
Formation energy (no corrections)   -32.54 kJ per mole of atoms
Magnetization   2.31 μB per cell
Calculated density   5.82 g cm⁻³


Crystalline Si3PdSe at its relaxed geometry, computed with PBEsol.

Lattice parameters (Å, degrees): 4.636 4.636 4.636 90.00 90.00 90.00
Fractional coordinates of all 5 atoms:
Si 0.000 0.000 0.500
Si 0.000 0.500 0.000
Si 0.500 0.000 0.000
Pd 0.000 0.000 0.000
Se 0.500 0.500 0.500

## Properties
Uncorrected energy   -4.977 eV per atom
Formation energy (no corrections)   41.78 kJ per mole of atoms
Magnetization   0.00 μB per cell
Calculated density   4.49 g cm⁻³


Crystalline SrHfPtW2 at its relaxed geometry, computed with PBEsol.

Lattice parameters (Å, degrees): 4.831 4.831 5.069 90.00 90.00 90.00
Fractional coordinates of all 5 atoms:
Sr 0.000 0.000 0.000
Hf 0.500 0.500 0.500
Pt 0.500 0.500 0.000
W 0.000 0.500 0.500
W 0.500 0.000 0.500

## Properties
ΔH_f (0 K)   1.54 eV/atom
Uncorrected energy   -7.844 eV per atom
Magnetization   0.01 μB per cell
Calculated density   11.63 g cm⁻³


Crystalline TaFe3Si at its relaxed geometry, computed with PBEsol.

Lattice parameters (Å, degrees): 4.437 4.437 4.437 90.00 90.00 90.00
Fractional coordinates of all 5 atoms:
Ta 0.000 0.000 0.000
Fe 0.000 0.000 0.500
Fe 0.000 0.500 0.000
Fe 0.500 0.000 0.000
Si 0.500 0.500 0.500

## Properties
Uncorrected energy   -7.338 eV per atom
Formation energy (no corrections)   163.99 kJ per mole of atoms
Magnetization   4.94 μB per cell
Calculated density   7.16 g cm⁻³


Crystalline Mg2AsRu at its relaxed geometry, computed with PBEsol.

Lattice parameters (Å, degrees): 4.088 4.088 3.745 90.00 90.00 90.00
Fractional coordinates of all 4 atoms:
Mg 0.000 0.500 0.000
Mg 0.500 0.000 0.000
As 0.000 0.000 0.500
Ru 0.500 0.500 0.500

## Properties
ΔH_f (0 K)   -0.09 eV/atom
Uncorrected energy   -4.770 eV per atom
Magnetization   0.00 μB per cell
Calculated density   5.96 g cm⁻³


Crystalline NaCuO2 at its relaxed geometry, computed with PBEsol.

Lattice parameters (Å, degrees): 2.745 11.674 5.899 90.00 90.00 90.00
Fractional coordinates of all 16 atoms:
Na 0.000 0.131 0.000
Na 0.000 0.869 0.500
Na 0.500 0.369 0.500
Na 0.500 0.631 0.000
Cu 0.000 0.371 0.006
Cu 0.000 0.629 0.506
Cu 0.500 0.129 0.506
Cu 0.500 0.871 0.006
O 0.000 0.052 0.641
O 0.000 0.210 0.373
O 0.000 0.790 0.873
O 0.000 0.948 0.141
O 0.500 0.290 0.873
O 0.500 0.448 0.141
O 0.500 0.552 0.641
O 0.500 0.710 0.373

## Properties
Uncorrected energy   -4.989 eV per atom
Formation energy (no corrections)   -89.83 kJ per mole of atoms
Magnetization   0.00 μB per cell
Calculated density   4.17 g cm⁻³


Crystalline CaCoSi at its relaxed geometry, computed with PBEsol.

Lattice parameters (Å, degrees): 3.863 3.863 7.282 90.00 90.00 90.00
Fractional coordinates of all 6 atoms:
Ca 0.250 0.250 0.179
Ca 0.750 0.750 0.821
Co 0.250 0.750 0.500
Co 0.750 0.250 0.500
Si 0.250 0.250 0.662
Si 0.750 0.750 0.338

## Properties
Uncorrected energy   -5.783 eV per atom
Formation energy (no corrections)   -55.75 kJ per mole of atoms
Magnetization   0.00 μB per cell
Calculated density   3.88 g cm⁻³


Crystalline CsCuOsI2 at its relaxed geometry, computed with PBEsol.

Lattice parameters (Å, degrees): 5.336 5.336 5.789 90.00 90.00 90.00
Fractional coordinates of all 5 atoms:
Cs 0.000 0.000 0.000
Cu 0.000 0.000 0.500
Os 0.500 0.500 0.000
I 0.000 0.500 0.500
I 0.500 0.000 0.500

## Properties
Uncorrected energy   -2.972 eV per atom
Formation energy (no corrections)   118.97 kJ per mole of atoms
Magnetization   3.93 μB per cell
Calculated density   6.45 g cm⁻³


Crystalline LaMgTe2 at its relaxed geometry, computed with PBEsol.

Lattice parameters (Å, degrees): 4.555 4.211 12.177 90.00 90.00 90.00
Fractional coordinates of all 8 atoms:
La 0.000 0.000 0.000
La 0.000 0.500 0.500
Mg 0.500 0.000 0.780
Mg 0.500 0.500 0.280
Te 0.000 0.000 0.290
Te 0.000 0.500 0.790
Te 0.500 0.000 0.551
Te 0.500 0.500 0.051

## Properties
Uncorrected energy   -4.727 eV per atom
Formation energy (no corrections)   -115.64 kJ per mole of atoms
Magnetization   0.00 μB per cell
Calculated density   5.95 g cm⁻³


Crystalline YTcIr2 at its relaxed geometry, computed with PBEsol.

Lattice parameters (Å, degrees): 3.981 3.981 8.187 90.00 90.00 90.00
Fractional coordinates of all 8 atoms:
Y 0.000 0.000 0.000
Y 0.500 0.500 0.500
Tc 0.000 0.500 0.250
Tc 0.500 0.000 0.750
Ir 0.000 0.000 0.500
Ir 0.000 0.500 0.750
Ir 0.500 0.000 0.250
Ir 0.500 0.500 0.000

## Properties
ΔH_f (0 K)   -0.04 eV/atom
Energy above the most stable polymorph in this dataset   134.1 meV per atom
Uncorrected energy   -9.476 eV per atom
Magnetization   0.00 μB per cell
Calculated density   14.63 g cm⁻³


Crystalline LiTa2I at its relaxed geometry, computed with PBEsol.

Lattice parameters (Å, degrees): 6.543 6.543 6.543 90.00 90.00 90.00
Fractional coordinates of all 16 atoms:
Li 0.000 0.000 0.000
Li 0.000 0.500 0.500
Li 0.500 0.000 0.500
Li 0.500 0.500 0.000
Ta 0.250 0.250 0.250
Ta 0.250 0.250 0.750
Ta 0.250 0.750 0.250
Ta 0.250 0.750 0.750
Ta 0.750 0.250 0.250
Ta 0.750 0.250 0.750
Ta 0.750 0.750 0.250
Ta 0.750 0.750 0.750
I 0.000 0.000 0.500
I 0.000 0.500 0.000
I 0.500 0.000 0.000
I 0.500 0.500 0.500

## Properties
Uncorrected energy   -6.257 eV per atom
Formation energy (no corrections)   91.82 kJ per mole of atoms
Magnetization   0.00 μB per cell
Calculated density   11.75 g cm⁻³


Crystalline BePRu2 at its relaxed geometry, computed with PBEsol.

Lattice parameters (Å, degrees): 5.616 5.616 5.616 90.00 90.00 90.00
Fractional coordinates of all 16 atoms:
Be 0.000 0.000 0.000
Be 0.000 0.500 0.500
Be 0.500 0.000 0.500
Be 0.500 0.500 0.000
P 0.000 0.000 0.500
P 0.000 0.500 0.000
P 0.500 0.000 0.000
P 0.500 0.500 0.500
Ru 0.250 0.250 0.250
Ru 0.250 0.250 0.750
Ru 0.250 0.750 0.250
Ru 0.250 0.750 0.750
Ru 0.750 0.250 0.250
Ru 0.750 0.250 0.750
Ru 0.750 0.750 0.250
Ru 0.750 0.750 0.750

## Properties
ΔH_f (0 K)   -0.51 eV/atom
Energy above the most stable polymorph in this dataset   0.0 meV per atom
Uncorrected energy   -8.046 eV per atom
Magnetization   0.00 μB per cell
Calculated density   9.08 g cm⁻³


Crystalline Ga3NiRh at its relaxed geometry, computed with PBEsol.

Lattice parameters (Å, degrees): 4.621 4.621 4.621 90.00 90.00 90.00
Fractional coordinates of all 5 atoms:
Ga 0.000 0.000 0.500
Ga 0.000 0.500 0.000
Ga 0.500 0.000 0.000
Ni 0.500 0.500 0.500
Rh 0.000 0.000 0.000

## Properties
ΔH_f (0 K)   0.36 eV/atom
Uncorrected energy   -4.505 eV per atom
Magnetization   0.36 μB per cell
Calculated density   6.24 g cm⁻³


Crystalline ScCr3Co at its relaxed geometry, computed with PBEsol.

Lattice parameters (Å, degrees): 4.161 4.161 4.161 90.00 90.00 90.00
Fractional coordinates of all 5 atoms:
Sc 0.000 0.000 0.000
Cr 0.000 0.000 0.500
Cr 0.000 0.500 0.000
Cr 0.500 0.000 0.000
Co 0.500 0.500 0.500

## Properties
ΔH_f (0 K)   2.18 eV/atom
Uncorrected energy   -6.829 eV per atom
Magnetization   1.44 μB per cell
Calculated density   5.99 g cm⁻³


Crystalline TbAlGe at its relaxed geometry, computed with PBEsol.

Lattice parameters (Å, degrees): 4.032 10.324 5.726 90.00 90.00 90.00
Fractional coordinates of all 12 atoms:
Tb 0.000 0.191 0.250
Tb 0.000 0.809 0.750
Tb 0.500 0.309 0.750
Tb 0.500 0.691 0.250
Al 0.000 0.500 0.000
Al 0.000 0.500 0.500
Al 0.500 0.000 0.000
Al 0.500 0.000 0.500
Ge 0.000 0.105 0.750
Ge 0.000 0.895 0.250
Ge 0.500 0.395 0.250
Ge 0.500 0.605 0.750

## Properties
ΔH_f (0 K)   -0.71 eV/atom
Uncorrected energy   -5.390 eV per atom
Magnetization   0.00 μB per cell
Calculated density   7.20 g cm⁻³


Crystalline TeOs2Se at its relaxed geometry, computed with PBEsol.

Lattice parameters (Å, degrees): 5.572 9.116 3.139 90.00 121.32 90.00
Fractional coordinates of all 8 atoms:
Te 0.000 0.000 0.000
Te 0.500 0.500 0.000
Os 0.250 0.250 0.500
Os 0.250 0.750 0.500
Os 0.750 0.250 0.500
Os 0.750 0.750 0.500
Se 0.000 0.500 0.000
Se 0.500 0.000 0.000

## Properties
Energy above the most stable polymorph in this dataset   426.7 meV per atom
Uncorrected energy   -6.846 eV per atom
Formation energy (no corrections)   106.75 kJ per mole of atoms
Magnetization   0.00 μB per cell
Calculated density   14.31 g cm⁻³


Crystalline TaCuSb2Ir at its relaxed geometry, computed with PBEsol.

Lattice parameters (Å, degrees): 5.154 5.154 4.592 90.00 90.00 90.00
Fractional coordinates of all 5 atoms:
Ta 0.000 0.000 0.000
Cu 0.000 0.000 0.500
Sb 0.000 0.500 0.000
Sb 0.500 0.000 0.000
Ir 0.500 0.500 0.500

## Properties
Uncorrected energy   -5.566 eV per atom
Formation energy (no corrections)   154.25 kJ per mole of atoms
Magnetization   0.00 μB per cell
Calculated density   9.26 g cm⁻³


Crystalline TlSbPtS2 at its relaxed geometry, computed with PBEsol.

Lattice parameters (Å, degrees): 4.885 4.885 5.558 90.00 90.00 90.00
Fractional coordinates of all 5 atoms:
Tl 0.000 0.000 0.000
Sb 0.000 0.000 0.500
Pt 0.500 0.500 0.000
S 0.000 0.500 0.500
S 0.500 0.000 0.500

## Properties
Uncorrected energy   -3.528 eV per atom
Formation energy (no corrections)   101.90 kJ per mole of atoms
Magnetization   0.35 μB per cell
Calculated density   7.33 g cm⁻³


Crystalline VIn3Se4 at its relaxed geometry, computed with PBEsol.

Lattice parameters (Å, degrees): 7.489 7.489 7.489 90.00 90.00 90.00
Fractional coordinates of all 16 atoms:
V 0.000 0.000 0.000
V 0.500 0.500 0.500
In 0.000 0.000 0.500
In 0.000 0.500 0.000
In 0.000 0.500 0.500
In 0.500 0.000 0.000
In 0.500 0.000 0.500
In 0.500 0.500 0.000
Se 0.176 0.176 0.176
Se 0.176 0.824 0.824
Se 0.324 0.324 0.676
Se 0.324 0.676 0.324
Se 0.676 0.324 0.324
Se 0.676 0.676 0.676
Se 0.824 0.176 0.824
Se 0.824 0.824 0.176

## Properties
Uncorrected energy   -4.658 eV per atom
Formation energy (no corrections)   -39.61 kJ per mole of atoms
Magnetization   0.00 μB per cell
Calculated density   5.62 g cm⁻³


Crystalline CoSb2Pb at its relaxed geometry, computed with PBEsol.

Lattice parameters (Å, degrees): 3.424 3.424 26.621 90.00 90.00 120.00
Fractional coordinates of all 12 atoms:
Co 0.000 0.000 0.000
Co 0.333 0.667 0.667
Co 0.667 0.333 0.333
Sb 0.000 0.000 0.493
Sb 0.000 0.000 0.722
Sb 0.333 0.667 0.160
Sb 0.333 0.667 0.389
Sb 0.667 0.333 0.055
Sb 0.667 0.333 0.827
Pb 0.000 0.000 0.263
Pb 0.333 0.667 0.930
Pb 0.667 0.333 0.596

## Properties
Uncorrected energy   -5.011 eV per atom
Formation energy (no corrections)   19.43 kJ per mole of atoms
Magnetization   0.00 μB per cell
Calculated density   9.39 g cm⁻³


Crystalline Y2FeTc at its relaxed geometry, computed with PBEsol.

Lattice parameters (Å, degrees): 3.858 4.369 10.028 90.00 90.00 90.00
Fractional coordinates of all 8 atoms:
Y 0.000 0.000 0.000
Y 0.000 0.500 0.500
Y 0.500 0.000 0.293
Y 0.500 0.500 0.793
Fe 0.000 0.000 0.703
Fe 0.000 0.500 0.203
Tc 0.500 0.000 0.596
Tc 0.500 0.500 0.096

## Properties
ΔH_f (0 K)   0.02 eV/atom
Uncorrected energy   -8.448 eV per atom
Magnetization   0.00 μB per cell
Calculated density   6.52 g cm⁻³


Crystalline CaTaAs2 at its relaxed geometry, computed with PBEsol.

Lattice parameters (Å, degrees): 3.859 4.305 10.168 90.00 90.00 90.00
Fractional coordinates of all 8 atoms:
Ca 0.000 0.000 0.000
Ca 0.500 0.500 0.000
Ta 0.000 0.500 0.731
Ta 0.500 0.000 0.731
As 0.000 0.000 0.540
As 0.000 0.500 0.222
As 0.500 0.000 0.222
As 0.500 0.500 0.540

## Properties
ΔH_f (0 K)   0.09 eV/atom
Energy above the most stable polymorph in this dataset   850.1 meV per atom
Uncorrected energy   -6.130 eV per atom
Magnetization   0.02 μB per cell
Calculated density   7.29 g cm⁻³